A relaxed structure of CaY2Te. Source: Alexandria, functional PBE-GGA.

Summary:
* raw total energy: -5.06 eV per atom
* density of states at the Fermi level: 3.05 states/eV/cell
* size of the total moment: 0.000 μB/f.u.
* theoretical density: 4.5 Mg/m³
* uncorrected formation energy: -0.54 eV/atom

Geometry as POSCAR:
```
CaY2Te
1.0
-2.4069 -4.4875 -4.5552
0.5994 -2.7427 -6.2289
2.7533 -4.8098 -0.0686
Y Ca Te
2 1 1
Direct
0.0398 0.0398 0.9603
0.4602 0.4602 0.5397
0.2500 0.2500 0.2500
0.7500 0.7500 0.7500
```


A relaxed structure of Ba2La2Cd. Source: Alexandria, functional PBE-GGA.

Summary:
* raw total energy: -2.81 eV per atom
* density of states at the Fermi level: 15.99 states/eV/cell
* size of the total moment: 0.005 μB/f.u.
* theoretical density: 5.1 Mg/m³
* energy of formation: 110 meV/atom

Geometry as POSCAR:
```
Ba2La2Cd
1.0
8.2901 0.0000 0.0000
0.0000 8.2901 0.0000
0.0000 0.0000 6.2872
Cd Ba La
2 4 4
Direct
0.0000 0.0000 0.0000
0.5000 0.5000 0.0000
0.1759 0.6759 0.5000
0.6759 0.8241 0.5000
0.8241 0.3241 0.5000
0.3241 0.1759 0.5000
0.3723 0.8723 0.0000
0.8723 0.6277 0.0000
0.6277 0.1277 0.0000
0.1277 0.3723 0.0000
```


A relaxed structure of CaCuAgSn2. Source: Alexandria, functional PBE-GGA.

Summary:
* raw total energy: -3.63 eV per atom
* density of states at the Fermi level: 2.39 states/eV/cell
* size of the total moment: 0.000 μB/f.u.
* theoretical density: 6.3 Mg/m³
* energy of formation: -244 meV/atom

Geometry as POSCAR:
```
CaCuAgSn2
1.0
-3.9433 0.7793 -2.0412
1.2589 -2.6320 -3.4367
-0.9698 -3.7035 5.4378
Ca Cu Ag Sn
1 1 1 2
Direct
0.0000 0.0000 0.0000
0.2500 0.7500 0.5000
0.7500 0.2500 0.5000
0.6205 0.6205 0.2411
0.3795 0.3795 0.7589
```


A relaxed structure of ZnCd4Sn. Source: Alexandria, functional PBE-GGA.

Summary:
* raw total energy: -1.42 eV per atom
* density of states at the Fermi level: 2.90 states/eV/cell
* size of the total moment: 0.000 μB/f.u.
* theoretical density: 7.6 Mg/m³
* energy above the most stable polymorph in this dataset: 0.0 meV/atom
* energy of formation: 72 meV/atom

Geometry as POSCAR:
```
ZnCd4Sn
1.0
-1.2494 -3.4395 -4.3023
5.1918 -1.7919 -0.0751
-4.5677 -3.6805 7.9762
Zn Cd Sn
2 8 2
Direct
0.5000 0.0000 0.5000
0.0000 0.5000 0.5000
0.5780 0.1614 0.8202
0.7577 0.3386 0.1798
0.4220 0.8386 0.1798
0.2423 0.6614 0.8202
0.0151 0.0773 0.6559
0.3592 0.4227 0.3441
0.9849 0.9227 0.3441
0.6408 0.5773 0.6559
0.8417 0.7500 0.0000
0.1583 0.2500 0.0000
```


A relaxed structure of ScV2SnC. Source: Alexandria, functional PBE-GGA.

Summary:
* raw total energy: -7.89 eV per atom
* density of states at the Fermi level: 3.84 states/eV/cell
* size of the total moment: 0.000 μB/f.u.
* theoretical density: 6.1 Mg/m³
* energy of formation: -328 meV/atom

Geometry as POSCAR:
```
ScV2SnC
1.0
4.0812 0.0000 0.0000
0.0000 4.0812 0.0000
0.0000 0.0000 4.5048
Sc C Sn V
1 1 1 2
Direct
0.0000 0.0000 0.5000
0.0000 0.0000 0.0000
0.5000 0.5000 0.5000
0.0000 0.5000 0.0000
0.5000 0.0000 0.0000
```


A relaxed structure of Li7AuN2. Source: Alexandria, functional PBE-GGA.

Summary:
* raw total energy: -3.72 eV per atom
* density of states at the Fermi level: 0.46 states/eV/cell
* size of the total moment: 0.000 μB/f.u.
* theoretical density: 3.5 Mg/m³
* uncorrected formation energy: -0.39 eV/atom

Geometry as POSCAR:
```
Li7AuN2
1.0
-0.5403 -1.0971 -3.6769
6.0950 -2.1156 -0.2643
-4.6162 -3.6666 1.7723
Li Au N
7 1 2
Direct
0.0000 0.3080 0.6161
0.0000 0.6920 0.3839
0.5000 0.3445 0.3080
0.5000 0.6555 0.6920
0.5000 0.0366 0.6920
0.5000 0.9634 0.3080
0.5000 0.5000 0.0000
0.0000 0.0000 0.0000
0.5000 0.3117 0.6233
0.5000 0.6883 0.3767
```


Among the records above, which one has the highest raw total energy? ZnCd4Sn